1.
DFT (PBE) results for a relaxed Th2Ni3Ir crystal.

Summary:
Energy of formation from the pure elements ... -0.527 eV/atom
D(E_F) ... 7.87 states/eV/f.u.
Spin magnetization ... 0.00 μB per cell
E ... -7.37 eV per atom

Geometry as POSCAR:
```
Th2Ni3Ir
1.0
0.000 4.301 6.971
3.858 0.000 6.971
3.858 4.301 0.000
Th Ni Ir
4 6 2
direct
0.249 0.751 0.751
0.250 0.250 0.250
0.750 0.750 0.750
0.751 0.249 0.249
0.159 0.672 0.328
0.161 0.161 0.839
0.328 0.841 0.159
0.672 0.159 0.841
0.839 0.839 0.161
0.841 0.328 0.672
0.337 0.337 0.663
0.663 0.663 0.337
```



2.
DFT (PBE) results for a relaxed ThNi2Ir5 crystal.

Summary:
Energy of formation from the pure elements ... -0.129 eV/atom
D(E_F) ... 13.28 states/eV/f.u.
Spin magnetization ... 0.00 μB per cell
E ... -8.04 eV per atom

Geometry as POSCAR:
```
ThNi2Ir5
1.0
3.829 0.000 0.000
0.000 7.314 0.000
0.000 0.000 9.222
Th Ni Ir
2 4 10
direct
0.000 0.000 0.000
0.500 0.500 0.500
0.000 0.500 0.266
0.000 0.500 0.734
0.500 0.000 0.234
0.500 0.000 0.766
0.000 0.185 0.353
0.000 0.185 0.647
0.000 0.500 0.000
0.000 0.815 0.353
0.000 0.815 0.647
0.500 0.000 0.500
0.500 0.315 0.147
0.500 0.315 0.853
0.500 0.685 0.147
0.500 0.685 0.853
```



3.
DFT (PBE) results for a relaxed ThNiIr2 crystal.

Summary:
Energy of formation from the pure elements ... -0.445 eV/atom
Excess energy over the best structure of this formula in the dataset ... 213 meV per atom
D(E_F) ... 4.53 states/eV/f.u.
Spin magnetization ... 0.00 μB per cell
E ... -8.18 eV per atom

Geometry as POSCAR:
```
ThNiIr2
1.0
4.350 0.000 0.000
-2.175 3.767 0.000
0.000 0.000 14.150
Th Ni Ir
3 3 6
direct
0.000 0.000 0.000
0.333 0.667 0.667
0.667 0.333 0.333
0.000 0.000 0.500
0.333 0.667 0.167
0.667 0.333 0.833
0.000 0.000 0.200
0.000 0.000 0.800
0.333 0.667 0.467
0.333 0.667 0.867
0.667 0.333 0.133
0.667 0.333 0.533
```



4.
DFT (PBE) results for a relaxed ThNiIr3 crystal.

Summary:
Energy of formation from the pure elements ... 0.117 eV/atom
D(E_F) ... 7.18 states/eV/f.u.
Spin magnetization ... 0.06 μB per cell
E ... -7.84 eV per atom

Geometry as POSCAR:
```
ThNiIr3
1.0
2.537 -8.342 0.000
2.537 8.342 0.000
0.000 0.000 4.852
Th Ni Ir
2 2 6
direct
0.086 0.914 0.750
0.914 0.086 0.250
0.360 0.640 0.750
0.640 0.360 0.250
0.039 0.494 0.250
0.494 0.039 0.750
0.500 0.500 0.000
0.500 0.500 0.500
0.506 0.961 0.250
0.961 0.506 0.750
```



5.
DFT (PBE) results for a relaxed ThNi2Ir2 crystal.

Summary:
Energy of formation from the pure elements ... -0.339 eV/atom
D(E_F) ... 7.34 states/eV/f.u.
Spin magnetization ... 1.30 μB per cell
E ... -7.68 eV per atom

Geometry as POSCAR:
```
ThNi2Ir2
1.0
-1.973 1.973 10.942
1.973 -1.973 10.942
1.973 1.973 -10.942
Th Ni Ir
2 4 4
direct
0.125 0.125 0.000
0.875 0.875 0.000
0.000 0.500 0.500
0.322 0.322 0.000
0.500 0.000 0.500
0.678 0.678 0.000
0.250 0.750 0.500
0.430 0.430 0.000
0.570 0.570 0.000
0.750 0.250 0.500
```



6.
DFT (PBE) results for a relaxed Th2Ni15Ir2 crystal.

Summary:
Energy of formation from the pure elements ... -0.249 eV/atom
D(E_F) ... 27.60 states/eV/f.u.
Spin magnetization ... 6.09 μB per cell
E ... -6.53 eV per atom

Geometry as POSCAR:
```
Th2Ni15Ir2
1.0
4.202 2.426 4.126
-4.202 2.426 4.126
0.000 -4.853 4.126
Th Ni Ir
2 15 2
direct
0.158 0.158 0.158
0.842 0.842 0.842
0.000 0.500 0.500
0.154 0.154 0.657
0.154 0.657 0.154
0.207 0.500 0.793
0.207 0.793 0.500
0.343 0.846 0.846
0.500 0.000 0.500
0.500 0.207 0.793
0.500 0.500 0.000
0.500 0.793 0.207
0.657 0.154 0.154
0.793 0.207 0.500
0.793 0.500 0.207
0.846 0.343 0.846
0.846 0.846 0.343
0.396 0.396 0.396
0.604 0.604 0.604
```



7.
DFT (PBE) results for a relaxed Th3NiIr8 crystal.

Summary:
Energy of formation from the pure elements ... -0.591 eV/atom
D(E_F) ... 10.56 states/eV/f.u.
Spin magnetization ... 0.02 μB per cell
E ... -8.84 eV per atom

Geometry as POSCAR:
```
Th3NiIr8
1.0
2.695 1.556 8.870
-2.695 1.556 8.870
0.000 -3.112 8.870
Th Ni Ir
3 1 8
direct
0.000 0.000 0.000
0.131 0.131 0.131
0.609 0.609 0.609
0.473 0.473 0.473
0.059 0.059 0.564
0.059 0.564 0.059
0.060 0.562 0.562
0.311 0.311 0.311
0.562 0.060 0.562
0.562 0.562 0.060
0.564 0.059 0.059
0.811 0.811 0.811
```



8.
DFT (PBE) results for a relaxed ThNi4Ir2 crystal.

Summary:
Energy of formation from the pure elements ... 0.316 eV/atom
D(E_F) ... 9.51 states/eV/f.u.
Spin magnetization ... 3.26 μB per cell
E ... -6.58 eV per atom

Geometry as POSCAR:
```
ThNi4Ir2
1.0
7.149 0.000 0.000
0.000 7.149 0.000
0.000 0.000 5.129
Th Ni Ir
2 8 4
direct
0.000 0.000 0.000
0.500 0.500 0.500
0.000 0.217 0.500
0.000 0.783 0.500
0.217 0.000 0.500
0.283 0.500 0.000
0.500 0.283 0.000
0.500 0.717 0.000
0.717 0.500 0.000
0.783 0.000 0.500
0.000 0.500 0.250
0.000 0.500 0.750
0.500 0.000 0.250
0.500 0.000 0.750
```